SmTa2FeN4 | PBE | relaxed

a b c (Å): 5.6372 5.6372 10.8472
angles (deg): 90.00 90.00 147.92
Fractional positions:
Sm 0.1083 0.8917 0.7500
Sm 0.8917 0.1083 0.2500
Ta 0.3690 0.6310 0.5586
Ta 0.3690 0.6310 0.9414
Ta 0.6310 0.3690 0.0586
Ta 0.6310 0.3690 0.4414
Fe 0.1575 0.8425 0.2500
Fe 0.8425 0.1575 0.7500
N 0.0000 0.0000 0.0000
N 0.0000 0.0000 0.5000
N 0.2714 0.7286 0.1105
N 0.2714 0.7286 0.3895
N 0.4451 0.5549 0.7500
N 0.5549 0.4451 0.2500
N 0.7286 0.2714 0.6105
N 0.7286 0.2714 0.8895

Results
The magnetic moment is 0.0 μB/f.u. As for the formation energy (no corrections): -1.0145 eV/atom.

KSrTa | PBE | relaxed

a b c (Å): 6.4797 6.4797 6.4797
angles (deg): 151.75 128.22 60.03
Fractional positions:
K 0.0000 0.0000 0.0000
Sr 0.3164 0.3164 0.0000
Ta 0.6719 0.6719 0.0000

Results
The magnetic moment is 2.3 μB/f.u. For the energy relative to the elements, the calculation gives 4.1 eV/f.u.

Pr3Sm2TmSe6 | PBE | relaxed

a b c (Å): 9.4033 9.4033 8.4764
angles (deg): 103.84 103.84 25.54
Fractional positions:
Pr 0.0000 0.0000 0.0000
Pr 0.3296 0.3296 0.6659
Pr 0.6704 0.6704 0.3341
Sm 0.3315 0.3315 0.1639
Sm 0.6685 0.6685 0.8361
Tm 0.0000 0.0000 0.5000
Se 0.1593 0.1593 0.5852
Se 0.1675 0.1675 0.0784
Se 0.4994 0.4994 0.2658
Se 0.5006 0.5006 0.7342
Se 0.8325 0.8325 0.9216
Se 0.8407 0.8407 0.4148

Results
The magnetic moment is 0.0 μB/f.u. As for the formation energy (no corrections): -1.8081 eV/atom.

Rh2W | PBE | relaxed

a b c (Å): 6.0773 6.0773 6.0773
angles (deg): 153.54 153.54 37.77
Fractional positions:
Rh 0.1618 0.1618 0.0000
Rh 0.8382 0.8382 0.0000
W 0.5000 0.5000 0.0000

Results
The magnetic moment is 0.0 μB/f.u. For the energy relative to the elements, the calculation gives -0.5 eV/f.u.

K4LiBr4 | PBE | relaxed

a b c (Å): 9.7943 9.7943 7.0861
angles (deg): 90.00 90.00 90.00
Fractional positions:
K 0.0241 0.2500 0.0617
K 0.2500 0.0241 0.5617
K 0.2500 0.4759 0.5617
K 0.4759 0.2500 0.0617
K 0.5241 0.7500 0.9383
K 0.7500 0.5241 0.4383
K 0.7500 0.9759 0.4383
K 0.9759 0.7500 0.9383
Li 0.2500 0.7500 0.2500
Li 0.7500 0.2500 0.7500
Br 0.0338 0.7500 0.4568
Br 0.2500 0.5338 0.0432
Br 0.2500 0.9662 0.0432
Br 0.4662 0.7500 0.4568
Br 0.5338 0.2500 0.5432
Br 0.7500 0.0338 0.9568
Br 0.7500 0.4662 0.9568
Br 0.9662 0.2500 0.5432

Results
The magnetic moment is 0.0 μB/f.u. As for the formation energy (no corrections): -1.4223 eV/atom.

Nd3Sm3DyTe8 | PBE | relaxed

a b c (Å): 8.9102 8.9102 8.9102
angles (deg): 59.87 59.87 59.87
Fractional positions:
Nd 0.0000 0.5000 0.5000
Nd 0.5000 0.0000 0.5000
Nd 0.5000 0.5000 0.0000
Sm 0.0000 0.0000 0.5000
Sm 0.0000 0.5000 0.0000
Sm 0.5000 0.0000 0.0000
Dy 0.5000 0.5000 0.5000
Te 0.2467 0.7505 0.7505
Te 0.2486 0.2486 0.2486
Te 0.2495 0.2495 0.7533
Te 0.2495 0.7533 0.2495
Te 0.7505 0.2467 0.7505
Te 0.7505 0.7505 0.2467
Te 0.7514 0.7514 0.7514
Te 0.7533 0.2495 0.2495

Results
The magnetic moment is 0.0 μB/f.u. As for the formation energy (no corrections): -1.4369 eV/atom.

no.,DOS(E_F) (states/eV/cell),uncorrected energy (eV/atom)
1,4.622,-9.79
2,3.275,-3.51
3,5.620,-5.90
4,1.697,-9.39
5,4.337,-2.87
6,7.167,-5.32